## ZrSi2Au (PBE)

Data for an optimized crystal structure of ZrSi2Au.

Cell lengths 5.242, 5.242, 5.242 Å; angles 135.43, 135.47, 64.84 degrees
Fractional positions:
Au (0.250, 0.750, 0.500)
Si (0.000, 0.000, 0.000)
Si (0.500, 0.500, 0.000)
Zr (0.750, 0.250, 0.500)

## Properties
E_form (uncorrected): -16 kJ/mol of atoms
SG: No. 139
Uncorrected energy: -23.333 eV/cell